No. 1
The following is a GGA-PBE calculation of a relaxed structure of MnHgP3, from Alexandria via LeMat-Bulk.

Values from the calculation:
Formation energy = 2036 meV/atom
Distance to the lowest polymorph of the same formula = 1566 meV/atom
Uncorrected energy = -3.10 eV per atom
Density = 4.89 g cm⁻³
Space-group type = Pm-3m, No. 221

a b c (Å): 4.9105 4.9105 4.9105
angles (deg): 90.00 90.00 90.00
Last column: nearest neighbours and their distance in Å.
Sites, in units of the cell vectors:
P 0.0000 0.0000 0.5000  2 Hg 2.46
P 0.5000 0.0000 0.0000  2 Hg 2.46
P 0.0000 0.5000 0.0000  2 Hg 2.46
Hg 0.0000 0.0000 0.0000  6 P 2.46
Mn 0.5000 0.5000 0.5000  12 P 3.47



No. 2
The following is a GGA-PBE calculation of a relaxed structure of MnHgP, from Alexandria via LeMat-Bulk.

Values from the calculation:
Formation energy = 216 meV/atom
Distance to the lowest polymorph of the same formula = 87 meV/atom
Uncorrected energy = -4.74 eV per atom
Density = 9.79 g cm⁻³
Space-group type = P3m1, No. 156

a b c (Å): 3.7932 3.7932 3.8991
angles (deg): 90.00 90.00 120.00
Last column: nearest neighbours and their distance in Å.
Sites, in units of the cell vectors:
Mn 0.6667 0.3333 0.5029  3 P 2.19
Hg 0.0000 0.0000 0.0003  6 P 2.92-2.94, 6 Mn 2.93-2.94
P 0.3333 0.6667 0.4969  3 Mn 2.19



No. 3
The following is a GGA-PBE calculation of a relaxed structure of MnHgP2, from Alexandria via LeMat-Bulk.

Values from the calculation:
Formation energy = -28 meV/atom
Uncorrected energy = -5.10 eV per atom
Density = 7.16 g cm⁻³
Space-group type = C2/m, No. 12

a b c (Å): 3.7628 3.7628 7.8514
angles (deg): 108.33 108.33 44.75
Last column: nearest neighbours and their distance in Å.
Sites, in units of the cell vectors:
P 0.1039 0.1039 0.8980  3 Mn 2.29-2.34
Mn 0.7500 0.7500 0.7500  6 P 2.29-2.34
Hg 0.2500 0.2500 0.2500  2 P 2.60, 2 Hg 2.86
P 0.3961 0.3961 0.6020  3 Mn 2.29-2.34



No. 4
The following is a GGA-PBE calculation of a relaxed structure of Mn2HgP, from Alexandria via LeMat-Bulk.

Values from the calculation:
Formation energy = 1 meV/atom
Uncorrected energy = -6.01 eV per atom
Density = 9.09 g cm⁻³
Space-group type = C2/m, No. 12

a b c (Å): 3.3312 3.3312 6.7609
angles (deg): 75.55 75.55 60.23
Last column: nearest neighbours and their distance in Å.
Sites, in units of the cell vectors:
Mn 0.0248 0.0248 0.9254  3 P 2.24
P 0.7500 0.7500 0.7500  6 Mn 2.24
Mn 0.4752 0.4752 0.5746  3 P 2.24
Hg 0.2500 0.2500 0.2500  6 Mn 2.85



No. 5
The following is a GGA-PBE calculation of a relaxed structure of Mn2HgP, from Alexandria via LeMat-Bulk.

Values from the calculation:
Formation energy = 666 meV/atom
Uncorrected energy = -5.35 eV per atom
Density = 8.85 g cm⁻³
Space-group type = F-43m, No. 216

a b c (Å): 4.4912 4.4912 4.4912
angles (deg): 60.00 60.00 60.00
Last column: nearest neighbours and their distance in Å.
Sites, in units of the cell vectors:
P 0.7500 0.7500 0.7500  4 Hg 2.75, 4 Mn 2.75
Hg 0.5000 0.5000 0.5000  4 Mn 2.75, 4 P 2.75
Mn 0.2500 0.2500 0.2500  4 Mn 2.75, 4 Hg 2.75
Mn 0.0000 0.0000 0.0000  4 P 2.75, 4 Mn 2.75



No. 6
The following is a GGA-PBE calculation of a relaxed structure of Mn2HgP, from Alexandria via LeMat-Bulk.

Values from the calculation:
Formation energy = 205 meV/atom
Uncorrected energy = -5.81 eV per atom
Density = 9.33 g cm⁻³
Space-group type = Immm, No. 71

a b c (Å): 4.7331 4.7331 4.7331
angles (deg): 137.98 118.38 77.40
Last column: nearest neighbours and their distance in Å.
Sites, in units of the cell vectors:
Mn 0.4483 0.4483 0.0000  2 P 2.24
P 0.2500 0.7500 0.5000  4 Mn 2.24
Hg 0.7500 0.2500 0.5000  8 Mn 2.80-2.83, 4 P 2.96
Mn 0.0517 0.0517 0.0000  2 P 2.24



No. 7
The following is a GGA-PBE calculation of a relaxed structure of MnHgP2, from Alexandria via LeMat-Bulk.

Values from the calculation:
Formation energy = 498 meV/atom
Uncorrected energy = -4.57 eV per atom
Density = 7.67 g cm⁻³
Space-group type = Cmmm, No. 65

a b c (Å): 4.4475 4.4475 3.5393
angles (deg): 90.00 90.00 78.93
Last column: nearest neighbours and their distance in Å.
Sites, in units of the cell vectors:
P 0.5000 0.5000 0.0000  2 P 2.83, 4 Mn 2.84, 4 Hg 2.84
P 0.0000 0.0000 0.0000  2 P 2.83, 4 Hg 2.84, 4 Mn 2.84
Hg 0.5000 0.0000 0.5000  2 Mn 2.83, 8 P 2.84
Mn 0.0000 0.5000 0.5000  2 Hg 2.83, 8 P 2.84



No. 8
The following is a GGA-PBE calculation of a relaxed structure of MnHgP2, from Alexandria via LeMat-Bulk.

Values from the calculation:
Formation energy = -14 meV/atom
Uncorrected energy = -5.09 eV per atom
Density = 7.65 g cm⁻³
Space-group type = P4/mmm, No. 123

a b c (Å): 2.8168 2.8168 8.6852
angles (deg): 90.00 90.00 90.00
Last column: nearest neighbours and their distance in Å.
Sites, in units of the cell vectors:
P 0.0000 0.0000 0.9037  4 Mn 2.40, 1 P 2.67
Mn 0.5000 0.5000 0.7500  8 P 2.40
P 0.0000 0.0000 0.5963  4 Mn 2.40, 1 P 2.67
Hg 0.5000 0.5000 0.2500  4 Hg 2.82



No. 9
The following is a GGA-PBE calculation of a relaxed structure of MnHgP2, from Alexandria via LeMat-Bulk.

Values from the calculation:
Formation energy = 165 meV/atom
Uncorrected energy = -4.91 eV per atom
Density = 7.48 g cm⁻³
Space-group type = Pm, No. 6

a b c (Å): 3.4005 3.4457 6.2412
angles (deg): 74.52 90.00 90.00
Last column: nearest neighbours and their distance in Å.
Sites, in units of the cell vectors:
P 0.5000 0.2727 0.0728  4 P 2.32-2.53, 2 Mn 2.35-2.39
P 0.0000 0.8114 0.0817  4 P 2.32-2.53, 2 Mn 2.40
Mn 0.5000 0.8945 0.8028  4 P 2.35-2.40
Hg 0.0000 0.5213 0.5426  1 P 2.78, 4 Mn 2.88



No. 10
The following is a GGA-PBE calculation of a relaxed structure of MnHg2PPt, from Alexandria via LeMat-Bulk.

Values from the calculation:
Formation energy = 645 meV/atom
Uncorrected energy = -3.60 eV per atom
Density = 10.47 g cm⁻³
Space-group type = P4/mmm, No. 123

a b c (Å): 4.9339 4.4430 4.9339
angles (deg): 90.00 90.00 90.00
Last column: nearest neighbours and their distance in Å.
Sites, in units of the cell vectors:
P 0.0000 0.0000 0.0000  2 Mn 2.22, 4 Hg 2.47
Hg 0.5000 0.0000 0.0000  2 P 2.47
Mn 0.0000 0.5000 0.0000  2 P 2.22
Pt 0.5000 0.5000 0.5000  8 Hg 3.32, 4 Mn 3.49
Hg 0.0000 0.0000 0.5000  2 P 2.47



No. 11
The following is a GGA-PBE calculation of a relaxed structure of MnHgPS2, from Alexandria via LeMat-Bulk.

Values from the calculation:
Distance to the lowest polymorph of the same formula = 813 meV/atom
Uncorrected energy = -3.50 eV per atom
Density = 4.68 g cm⁻³
Space-group type = P4/mmm, No. 123

a b c (Å): 5.0227 5.0227 4.9326
angles (deg): 90.00 90.00 90.00
Last column: nearest neighbours and their distance in Å.
Sites, in units of the cell vectors:
S 0.0000 0.5000 0.0000  2 Hg 2.51
Hg 0.0000 0.0000 0.0000  2 P 2.47, 4 S 2.51
P 0.0000 0.0000 0.5000  2 Hg 2.47
Mn 0.5000 0.5000 0.5000  8 S 3.52, 4 P 3.55
S 0.5000 0.0000 0.0000  2 Hg 2.51



No. 12
The following is a GGA-PBE calculation of a relaxed structure of MnHgP2S, from Alexandria via LeMat-Bulk.

Values from the calculation:
Distance to the lowest polymorph of the same formula = 1539 meV/atom
Uncorrected energy = -2.96 eV per atom
Density = 4.84 g cm⁻³
Space-group type = P4/mmm, No. 123

a b c (Å): 4.9164 4.9164 4.9580
angles (deg): 90.00 90.00 90.00
Last column: nearest neighbours and their distance in Å.
Sites, in units of the cell vectors:
S 0.0000 0.0000 0.5000  2 Hg 2.48
P 0.5000 0.0000 0.0000  2 Hg 2.46
Mn 0.5000 0.5000 0.5000  4 S 3.48, 8 P 3.49
Hg 0.0000 0.0000 0.0000  4 P 2.46, 2 S 2.48
P 0.0000 0.5000 0.0000  2 Hg 2.46



No. 13
The following is a GGA-PBE calculation of a relaxed structure of MnHgP2S, from Alexandria via LeMat-Bulk.

Values from the calculation:
Distance to the lowest polymorph of the same formula = 0 meV/atom
Uncorrected energy = -4.50 eV per atom
Density = 6.11 g cm⁻³
Space-group type = P4/mmm, No. 123

a b c (Å): 4.2316 4.2316 5.3053
angles (deg): 90.00 90.00 90.00
Last column: nearest neighbours and their distance in Å.
Sites, in units of the cell vectors:
S 0.0000 0.0000 0.5000  2 Mn 2.65
Hg 0.5000 0.5000 0.5000  4 S 2.99
P 0.5000 0.0000 0.0000  2 Mn 2.12
Mn 0.0000 0.0000 0.0000  4 P 2.12
P 0.0000 0.5000 0.0000  2 Mn 2.12



No. 14
The following is a GGA-PBE calculation of a relaxed structure of MnHgPS2, from Alexandria via LeMat-Bulk.

Values from the calculation:
Distance to the lowest polymorph of the same formula = 0 meV/atom
Uncorrected energy = -4.31 eV per atom
Density = 6.08 g cm⁻³
Space-group type = P4/mmm, No. 123

a b c (Å): 4.6022 4.6022 4.5229
angles (deg): 90.00 90.00 90.00
Last column: nearest neighbours and their distance in Å.
Sites, in units of the cell vectors:
S 0.0000 0.5000 0.0000  2 Mn 2.30
S 0.5000 0.0000 0.0000  2 Mn 2.30
Mn 0.0000 0.0000 0.0000  2 P 2.26, 4 S 2.30
P 0.0000 0.0000 0.5000  2 Mn 2.26
Hg 0.5000 0.5000 0.5000  8 S 3.23, 4 P 3.25



No. 15
The following is a GGA-PBE calculation of a relaxed structure of ZrMnHg2P, from Alexandria via LeMat-Bulk.

Values from the calculation:
Formation energy = 413 meV/atom
Uncorrected energy = -4.33 eV per atom
Density = 8.98 g cm⁻³
Space-group type = P4/mmm, No. 123

a b c (Å): 5.0380 4.2134 5.0380
angles (deg): 90.00 90.00 90.00
Last column: nearest neighbours and their distance in Å.
Sites, in units of the cell vectors:
P 0.0000 0.5000 0.0000  2 Mn 2.11
Zr 0.5000 0.5000 0.5000  8 Hg 3.28, 4 P 3.56
Hg 0.0000 0.0000 0.5000  2 Mn 2.52
Mn 0.0000 0.0000 0.0000  2 P 2.11
Hg 0.5000 0.0000 0.0000  2 Mn 2.52



No. 16
The following is a GGA-PBE calculation of a relaxed structure of PaMn4HgS8, from Alexandria via LeMat-Bulk.

Values from the calculation:
Uncorrected energy = -6.39 eV per atom
Density = 4.96 g cm⁻³
Space-group type = R3m, No. 160

a b c (Å): 7.4975 7.4975 7.5972
angles (deg): 60.43 60.43 60.00
Last column: nearest neighbours and their distance in Å.
Sites, in units of the cell vectors:
S 0.2288 0.2288 0.3135  1 Hg 2.47, 3 Mn 2.48
S 0.2380 0.7508 0.2604  3 Mn 2.43-2.61, 1 Pa 2.67
Mn 0.9975 0.5024 0.5027  6 S 2.48-2.61
S 0.7508 0.2380 0.2604  3 Mn 2.43-2.61, 1 Pa 2.67
Mn 0.5024 0.9975 0.5027  6 S 2.48-2.61
S 0.7630 0.7630 0.7109  4 Mn 2.44-2.51
S 0.2495 0.7781 0.7228  2 Mn 2.52, 1 Hg 2.59, 1 Pa 2.67
Mn 0.9975 0.9975 0.5027  6 S 2.48-2.61
S 0.7508 0.7508 0.2604  3 Mn 2.43-2.61, 1 Pa 2.67
S 0.7781 0.2495 0.7228  2 Mn 2.52, 1 Hg 2.59, 1 Pa 2.67
S 0.2495 0.2495 0.7228  2 Mn 2.52, 1 Hg 2.59, 1 Pa 2.67
Pa 0.0008 0.0008 0.9976  6 S 2.67
Hg 0.3605 0.3605 0.9186  4 S 2.47-2.59
Mn 0.6328 0.6328 0.1016  4 S 2.43-2.44



No. 17
The following is a GGA-PBE calculation of a relaxed structure of Pa3MnHg3Se8, from Alexandria via LeMat-Bulk.

Values from the calculation:
Uncorrected energy = -5.33 eV per atom
Density = 5.98 g cm⁻³
Space-group type = R-3m, No. 166

a b c (Å): 8.1542 8.1545 10.6581
angles (deg): 112.49 90.03 119.99
Last column: nearest neighbours and their distance in Å.
Sites, in units of the cell vectors:
Hg 0.5000 0.5000 0.0000  6 Se 3.97-4.03, 4 Hg 4.08
Se 0.7234 0.9398 0.6561  1 Mn 2.76, 2 Pa 2.80
Pa 0.0000 0.5000 0.5000  6 Se 2.80-2.84
Se 0.7835 0.0602 0.3439  1 Mn 2.76, 2 Pa 2.80
Se 0.2165 0.4329 0.6561  1 Mn 2.76, 2 Pa 2.80
Se 0.7835 0.5671 0.3439  1 Mn 2.76, 2 Pa 2.80
Se 0.7221 0.4440 0.6659  3 Pa 2.84
Hg 0.0000 0.0000 0.0000  6 Se 3.97-4.04, 4 Hg 4.08
Pa 0.5000 0.5000 0.5000  6 Se 2.80-2.84
Se 0.2165 0.9398 0.6561  1 Mn 2.76, 2 Pa 2.80
Pa 0.5000 0.0000 0.5000  6 Se 2.80-2.84
Se 0.2766 0.0602 0.3439  1 Mn 2.76, 2 Pa 2.80
Se 0.2779 0.5560 0.3341  3 Pa 2.84
Mn 0.0000 0.0000 0.5000  6 Se 2.76
Hg 0.0000 0.5000 0.0000  6 Se 3.97-4.04, 4 Hg 4.08



No. 18
The following is a GGA-PBE calculation of a relaxed structure of MnHg2Pb, from Alexandria via LeMat-Bulk.

Values from the calculation:
Formation energy = 292 meV/atom
Uncorrected energy = -3.08 eV per atom
Density = 11.36 g cm⁻³
Space-group type = P2/m, No. 10

a b c (Å): 4.7021 3.6555 5.8721
angles (deg): 73.79 90.00 90.00
Last column: nearest neighbours and their distance in Å.
Sites, in units of the cell vectors:
Pb 0.5000 0.7500 0.7500  2 Mn 2.99, 4 Hg 3.27
Hg 0.0000 0.0851 0.0243  2 Mn 2.85, 2 Hg 3.07-3.11
Hg 0.0000 0.4149 0.4757  2 Mn 2.85, 2 Hg 3.07-3.11
Mn 0.5000 0.2500 0.2500  4 Hg 2.85, 2 Pb 2.99



No. 19
The following is a GGA-PBE calculation of a relaxed structure of Mn2HgPb, from Alexandria via LeMat-Bulk.

Values from the calculation:
Formation energy = 446 meV/atom
Uncorrected energy = -5.14 eV per atom
Density = 10.90 g cm⁻³
Space-group type = I-4m2, No. 119

a b c (Å): 5.5593 5.5593 5.5593
angles (deg): 137.02 137.02 62.40
Last column: nearest neighbours and their distance in Å.
Sites, in units of the cell vectors:
Mn 0.2500 0.7500 0.5000  4 Hg 2.88, 4 Mn 3.13, 4 Pb 3.13
Mn 0.0000 0.0000 0.0000  4 Pb 2.88, 4 Mn 3.13, 4 Hg 3.13
Pb 0.5000 0.5000 0.0000  8 Mn 2.88-3.13, 4 Hg 3.13
Hg 0.7500 0.2500 0.5000  8 Mn 2.88-3.13, 4 Pb 3.13



No. 20
The following is a GGA-PBE calculation of a relaxed structure of MnHg3Pb, from Alexandria via LeMat-Bulk.

Values from the calculation:
Formation energy = 385 meV/atom
Distance to the lowest polymorph of the same formula = 0 meV/atom
Uncorrected energy = -2.37 eV per atom
Density = 10.31 g cm⁻³
Space-group type = Pm-3m, No. 221

a b c (Å): 5.1814 5.1814 5.1814
angles (deg): 90.00 90.00 90.00
Last column: nearest neighbours and their distance in Å.
Sites, in units of the cell vectors:
Hg 0.5000 0.0000 0.0000  2 Mn 2.59
Hg 0.0000 0.5000 0.0000  2 Mn 2.59
Hg 0.0000 0.0000 0.5000  2 Mn 2.59
Pb 0.5000 0.5000 0.5000  12 Hg 3.66
Mn 0.0000 0.0000 0.0000  6 Hg 2.59